Entry one
Rb2LaInBr6 | the Alexandria database | PBE | relaxed; crystal system = cubic; density = 3.320 Mg/m³; spin magnetization = 0.0 μB per formula unit
1.0
8.614 0.000 0.000
0.000 8.614 0.000
4.307 4.307 6.093
Rb In Br La
2 1 6 1
Cartesian
4.307 8.614 3.047 Rb
8.614 4.307 3.047 Rb
4.307 4.307 0.000 In
4.307 4.307 3.167 Br
2.069 6.545 0.000 Br
8.614 8.614 2.926 Br
6.545 2.069 0.000 Br
2.069 2.069 0.000 Br
6.545 6.545 0.000 Br
0.000 0.000 0.000 La

=====

Entry two
Rb2LaInBr6 | the Alexandria database | PBE | relaxed; crystal system = monoclinic; density = 3.615 Mg/m³; spin magnetization = 0.0 μB per formula unit
1.0
-0.166 4.890 6.510
-4.975 -5.760 4.200
9.612 -5.089 4.406
Br In Rb La
12 2 4 2
Cartesian
7.383 -3.172 10.096 Br
4.934 -5.231 12.776 Br
2.205 1.438 5.401 Br
3.922 -1.218 8.084 Br
-0.463 -0.727 2.341 Br
0.549 -4.740 7.032 Br
5.059 -5.909 6.068 Br
-2.911 -2.787 5.020 Br
3.325 -2.302 4.076 Br
-0.587 -0.050 9.048 Br
2.266 -7.397 9.715 Br
1.146 -3.657 11.040 Br
2.319 -5.425 4.303 In
-0.083 2.445 3.255 In
4.285 -4.574 9.203 Rb
6.620 0.497 9.927 Rb
-2.149 -6.456 5.189 Rb
0.186 -1.384 5.913 Rb
4.723 -0.099 5.458 La
-2.487 -2.880 2.100 La

=====

Which structure is most stable? entry two, by 62 meV per atom over the runner-up.

=====

Entry one
Li2InBr2 | the Alexandria database | PBE | relaxed; crystal system = tetragonal; density = 3.288 Mg/m³; spin magnetization = 0.0 μB per formula unit
1.0
-0.627 0.119 4.966
-4.966 0.100 -0.630
-2.929 -5.701 2.290
Br In Li
2 1 2
Cartesian
-3.176 -2.736 4.712 Br
-5.346 -2.746 1.914 Br
0.000 0.000 0.000 In
-2.844 -1.958 2.211 Li
-5.678 -3.525 4.415 Li

=====

Entry two
Li2InBr2 | the Alexandria database | PBE | relaxed; crystal system = tetragonal; density = 3.828 Mg/m³; spin magnetization = 0.0 μB per formula unit
1.0
-5.428 6.330 1.621
-6.511 -5.064 -2.030
-0.223 -1.037 3.302
Br Li In
4 4 2
Cartesian
-7.080 3.098 2.316 Br
-2.981 1.009 1.937 Br
-5.083 -2.869 0.577 Br
-9.181 -0.780 0.956 Br
-7.820 -2.048 -1.171 Li
-8.812 2.457 0.176 Li
-4.119 3.314 0.762 Li
-3.128 -1.191 -0.585 Li
0.000 0.000 0.000 In
-5.970 0.633 -0.205 In

=====

Which structure is most stable? entry one, by 43 meV per atom over the runner-up.